# IrWBr2, PBEsol geometry, DFT SCAN
data_IrWBr2
_cell_length_a 3.0502
_cell_length_b 3.0502
_cell_length_c 26.2033
_cell_angle_alpha 90.00
_cell_angle_beta 90.00
_cell_angle_gamma 120.00
_symmetry_space_group_name_H-M 'R -3 m'
_symmetry_Int_Tables_number 166
_symmetry_space_group_name_Hall '-R 3 2"'
loop_
_atom_site_label
_atom_site_type_symbol
_atom_site_fract_x
_atom_site_fract_y
_atom_site_fract_z
Ir1 Ir 0.0000 0.0000 0.0000
W1 W 0.0000 0.0000 0.5000
Br1 Br 0.0000 0.0000 0.0927
# DOS at the Fermi energy = 7.1 states/eV per cell
# Formation energy without anion corrections = 1.058 eV per atom
# Offset from the most stable computed form = 937 meV per atom

# Cd2NiMo, PBEsol geometry, DFT SCAN
data_Cd2NiMo
_cell_length_a 9.033
_cell_length_b 2.743
_cell_length_c 5.269
_cell_angle_alpha 90.00
_cell_angle_beta 98.73
_cell_angle_gamma 90.00
_symmetry_space_group_name_H-M 'C 1 m 1'
_symmetry_Int_Tables_number 8
loop_
_symmetry_equiv_pos_as_xyz
'x,y,z'
'x,-y,z'
'x+1/2,y+1/2,z'
'x+1/2,-y+1/2,z'
loop_
_atom_site_label
_atom_site_type_symbol
_atom_site_fract_x
_atom_site_fract_y
_atom_site_fract_z
Cd1 Cd 0.000 0.000 0.000
Cd2 Cd 0.241 0.000 0.742
Ni1 Ni 0.244 0.500 0.289
Mo1 Mo 0.484 0.000 0.467
# DOS at the Fermi energy = 5.0 states/eV per cell
# Offset from the most stable computed form = 0 meV per atom
# Formation energy = 38.6 kJ per mole of atoms

# Tl7Ag36Te22, PBEsol geometry, DFT SCAN
data_Tl7Ag36Te22
_cell_length_a 18.348
_cell_length_b 18.348
_cell_length_c 18.348
_cell_angle_alpha 90.00
_cell_angle_beta 90.00
_cell_angle_gamma 90.00
_symmetry_space_group_name_H-M 'F m -3 m'
_symmetry_Int_Tables_number 225
_symmetry_space_group_name_Hall '-F 4 2 3'
loop_
_atom_site_label
_atom_site_type_symbol
_atom_site_fract_x
_atom_site_fract_y
_atom_site_fract_z
Tl1 Tl 0.000 0.000 0.000
Tl2 Tl 0.000 0.000 0.235
Ag1 Ag 0.000 0.194 0.194
Ag2 Ag 0.132 0.132 0.257
Te1 Te 0.000 0.155 0.345
Te2 Te 0.108 0.108 0.108
Te3 Te 0.250 0.250 0.250
# DOS at the Fermi energy = 73.4 states/eV per cell
# Formation energy without anion corrections = -0.129 eV per atom

# KGaRu3, PBEsol geometry, DFT SCAN
data_KGaRu3
_cell_length_a 4.633
_cell_length_b 4.633
_cell_length_c 4.633
_cell_angle_alpha 90.00
_cell_angle_beta 90.00
_cell_angle_gamma 90.00
_symmetry_space_group_name_H-M 'P m -3 m'
_symmetry_Int_Tables_number 221
_symmetry_space_group_name_Hall '-P 4 2 3'
loop_
_atom_site_label
_atom_site_type_symbol
_atom_site_fract_x
_atom_site_fract_y
_atom_site_fract_z
K1 K 0.000 0.000 0.000
Ga1 Ga 0.500 0.500 0.500
Ru1 Ru 0.000 0.500 0.500
# DOS at the Fermi energy = 4.3 states/eV per cell
# Formation energy = 134.5 kJ per mole of atoms

# Os2AuCl, PBEsol geometry, DFT SCAN
data_Os2AuCl
_cell_length_a 2.805
_cell_length_b 2.805
_cell_length_c 7.604
_cell_angle_alpha 90.00
_cell_angle_beta 90.00
_cell_angle_gamma 90.00
_symmetry_space_group_name_H-M 'P 4/m m m'
_symmetry_Int_Tables_number 123
_symmetry_space_group_name_Hall '-P 4 2'
loop_
_atom_site_label
_atom_site_type_symbol
_atom_site_fract_x
_atom_site_fract_y
_atom_site_fract_z
Os1 Os 0.000 0.000 0.247
Au1 Au 0.500 0.500 0.500
Cl1 Cl 0.500 0.500 0.000
# DOS at the Fermi energy = 3.9 states/eV per cell
# Formation energy without anion corrections = 1.410 eV per atom
# Offset from the most stable computed form = 136 meV per atom

# BeMoS2Cl, PBEsol geometry, DFT SCAN
data_BeMoS2Cl
_cell_length_a 4.431
_cell_length_b 4.431
_cell_length_c 4.043
_cell_angle_alpha 90.00
_cell_angle_beta 90.00
_cell_angle_gamma 90.00
_symmetry_space_group_name_H-M 'P 4/m m m'
_symmetry_Int_Tables_number 123
_symmetry_space_group_name_Hall '-P 4 2'
loop_
_atom_site_label
_atom_site_type_symbol
_atom_site_fract_x
_atom_site_fract_y
_atom_site_fract_z
Be1 Be 0.000 0.000 0.000
Mo1 Mo 0.500 0.500 0.500
S1 S 0.000 0.500 0.000
Cl1 Cl 0.000 0.000 0.500
# DOS at the Fermi energy = 1.6 states/eV per cell
# Formation energy without anion corrections = 0.220 eV per atom